No. 1
Computed, not measured: a geometry-optimized YP4Pd6 structure at the PBE level of DFT.

The structure belongs to space group P-6m2 (No. 187); the cell edges are 7.1806, 7.1806 and 3.8761 Å and the angles 90.00°, 90.00° and 120.00°. The asymmetric unit holds Y at (0.0000, 0.0000, 0.0000), P at (0.3333, 0.6667, 0.0000), P at (0.3710, 0.1855, 0.5000), Pd at (0.1949, 0.3898, 0.5000) and Pd at (0.5345, 0.0689, 0.0000).

The formation energy comes out at -0.616 eV/atom.



No. 2
Computed, not measured: a geometry-optimized K3CaPb structure at the PBE level of DFT.

The structure belongs to space group Pm-3m (No. 221); the cell edges are 6.827, 6.827 and 6.827 Å and the angles 90.00°, 90.00° and 90.00°. The asymmetric unit holds K at (0.000, 0.000, 0.500), Ca at (0.500, 0.500, 0.500) and Pb at (0.000, 0.000, 0.000).

The formation energy comes out at 0.240 eV/atom.



No. 3
Computed, not measured: a geometry-optimized CuNi2HRh structure at the PBE level of DFT.

The structure belongs to space group P4/mmm (No. 123); the cell edges are 3.674, 3.674 and 3.774 Å and the angles 90.00°, 90.00° and 90.00°. The asymmetric unit holds Cu at (0.000, 0.000, 0.000), Ni at (0.000, 0.500, 0.500), H at (0.500, 0.500, 0.500) and Rh at (0.500, 0.500, 0.000).

The total energy comes out at -5.243 eV per atom.



No. 4
Computed, not measured: a geometry-optimized GeTe2Pd structure at the PBE level of DFT.

The structure belongs to space group R3m (No. 160, hexagonal axes); the cell edges are 3.9957, 3.9957 and 21.2038 Å and the angles 90.00°, 90.00° and 120.00°. The asymmetric unit holds Ge at (0.0000, 0.0000, 0.0000), Te at (0.0000, 0.0000, 0.5672), Te at (0.0000, 0.0000, 0.7540) and Pd at (0.0000, 0.0000, 0.1634).

The calculation puts the formation energy from raw total energies at -0.100 eV/atom.



Please write out number 4 again, unchanged.
Computed, not measured: a geometry-optimized GeTe2Pd structure at the PBE level of DFT.

The structure belongs to space group R3m (No. 160, hexagonal axes); the cell edges are 3.9957, 3.9957 and 21.2038 Å and the angles 90.00°, 90.00° and 120.00°. The asymmetric unit holds Ge at (0.0000, 0.0000, 0.0000), Te at (0.0000, 0.0000, 0.5672), Te at (0.0000, 0.0000, 0.7540) and Pd at (0.0000, 0.0000, 0.1634).

The calculation puts the formation energy from raw total energies at -0.100 eV/atom.



What did the third record say?
Computed, not measured: a geometry-optimized CuNi2HRh structure at the PBE level of DFT.

The structure belongs to space group P4/mmm (No. 123); the cell edges are 3.674, 3.674 and 3.774 Å and the angles 90.00°, 90.00° and 90.00°. The asymmetric unit holds Cu at (0.000, 0.000, 0.000), Ni at (0.000, 0.500, 0.500), H at (0.500, 0.500, 0.500) and Rh at (0.500, 0.500, 0.000).

The total energy comes out at -5.243 eV per atom.